Entry 1:
The following is a PBE calculation of a relaxed structure of Li6Tb2O7, from the Alexandria database.

Cell lengths 8.414, 6.249, 6.055 Å; angles 90.00, 93.92, 90.00 degrees
Sites, in units of the cell vectors:
Li 0.072 0.143 0.085
Li 0.072 0.357 0.585
Li 0.086 0.607 0.113
Li 0.086 0.893 0.613
Li 0.295 0.128 0.860
Li 0.295 0.372 0.360
Li 0.705 0.628 0.640
Li 0.705 0.872 0.140
Li 0.914 0.107 0.387
Li 0.914 0.393 0.887
Li 0.928 0.643 0.415
Li 0.928 0.857 0.915
Tb 0.339 0.600 0.801
Tb 0.339 0.900 0.301
Tb 0.661 0.100 0.699
Tb 0.661 0.400 0.199
O 0.148 0.127 0.405
O 0.148 0.373 0.905
O 0.172 0.635 0.448
O 0.172 0.865 0.948
O 0.495 0.202 0.409
O 0.495 0.298 0.909
O 0.500 0.000 0.000
O 0.500 0.500 0.500
O 0.505 0.702 0.091
O 0.505 0.798 0.591
O 0.828 0.135 0.052
O 0.828 0.365 0.552
O 0.852 0.627 0.095
O 0.852 0.873 0.595

Results
For the formation energy (no corrections), the calculation gives -2.184 eV per atom. For the density of states at the Fermi level, the calculation gives 0.0 states/eV/f.u. The symmetry is No. 14. The value obtained for the total magnetization is 0.0 μB/f.u. The calculation puts the total DFT energy (no corrections) at -5.880 eV/atom.



Entry 2:
The following is a PBE calculation of a relaxed structure of Li6Tb2O7, from the Alexandria database.

Cell lengths 5.649, 6.181, 10.910 Å; angles 90.00, 111.02, 90.00 degrees
Sites, in units of the cell vectors:
Li 0.154 0.007 0.114
Li 0.154 0.493 0.614
Li 0.174 0.214 0.365
Li 0.174 0.286 0.865
Li 0.234 0.750 0.376
Li 0.234 0.750 0.876
Li 0.766 0.250 0.124
Li 0.766 0.250 0.624
Li 0.826 0.714 0.135
Li 0.826 0.786 0.635
Li 0.846 0.507 0.386
Li 0.846 0.993 0.886
Tb 0.282 0.021 0.637
Tb 0.282 0.479 0.137
Tb 0.718 0.521 0.863
Tb 0.718 0.979 0.363
O 0.021 0.023 0.757
O 0.021 0.477 0.257
O 0.032 0.744 0.006
O 0.032 0.756 0.506
O 0.477 0.162 0.189
O 0.477 0.338 0.689
O 0.500 0.000 0.500
O 0.500 0.500 0.000
O 0.523 0.662 0.311
O 0.523 0.838 0.811
O 0.968 0.244 0.494
O 0.968 0.256 0.994
O 0.979 0.523 0.743
O 0.979 0.977 0.243

Results
For the formation energy (no corrections), the calculation gives -2.181 eV per atom. For the density of states at the Fermi level, the calculation gives 8.4 states/eV/f.u. The symmetry is No. 14. The value obtained for the total magnetization is 2.1 μB/f.u. The calculation puts the total DFT energy (no corrections) at -5.878 eV/atom.



Entry 3:
The following is a PBE calculation of a relaxed structure of Li3TbO3, from the Alexandria database.

Cell lengths 6.345, 6.345, 6.345 Å; angles 55.05, 55.05, 55.05 degrees
Sites, in units of the cell vectors:
Li 0.147 0.400 0.826
Li 0.174 0.853 0.600
Li 0.400 0.826 0.147
Li 0.600 0.174 0.853
Li 0.826 0.147 0.400
Li 0.853 0.600 0.174
Tb 0.331 0.331 0.331
Tb 0.669 0.669 0.669
O 0.082 0.715 0.461
O 0.285 0.539 0.918
O 0.461 0.082 0.715
O 0.539 0.918 0.285
O 0.715 0.461 0.082
O 0.918 0.285 0.539

Results
For the formation energy (no corrections), the calculation gives -2.407 eV per atom. For the density of states at the Fermi level, the calculation gives 0.0 states/eV/f.u. The symmetry is No. 148. The value obtained for the total magnetization is 0.0 μB/f.u. The calculation puts the total DFT energy (no corrections) at -6.014 eV/atom.



Entry 4:
The following is a PBE calculation of a relaxed structure of LiTbO2, from the Alexandria database.

Cell lengths 11.308, 3.413, 5.341 Å; angles 90.00, 90.00, 90.00 degrees
Sites, in units of the cell vectors:
Li 0.066 0.250 0.097
Li 0.434 0.750 0.597
Li 0.566 0.250 0.403
Li 0.934 0.750 0.903
Tb 0.141 0.750 0.546
Tb 0.359 0.250 0.046
Tb 0.641 0.750 0.954
Tb 0.859 0.250 0.454
O 0.027 0.250 0.742
O 0.205 0.250 0.307
O 0.295 0.750 0.807
O 0.473 0.750 0.242
O 0.527 0.250 0.758
O 0.705 0.250 0.193
O 0.795 0.750 0.693
O 0.973 0.750 0.258

Results
For the formation energy (no corrections), the calculation gives -2.922 eV per atom. For the density of states at the Fermi level, the calculation gives 0.0 states/eV/f.u. The symmetry is No. 62. The value obtained for the total magnetization is 0.0 μB/f.u. The calculation puts the total DFT energy (no corrections) at -7.037 eV/atom.